Record 1
Below is crystalline PaCdHg2O8 at its relaxed geometry, with properties calculated at the PBE level.

Summary:
For the total magnetization, the calculation gives 0.91 μB per formula unit. The total energy comes out at -5.06 eV/atom. For the uncorrected formation energy, the calculation gives -832 meV per atom. As for the density of states at the Fermi level: 0.646 states/eV/atom.

Cell lengths 6.2306, 6.2306, 6.2306 Å; angles 111.51, 111.51, 105.48 degrees
Closest atoms and distances in Å follow each position.
Element x y z (fractional)
Pa  0.0000  0.0000  0.0000  8 O 2.18-2.32
Cd  0.2500  0.7500  0.5000  8 O 2.34-2.42
Hg  0.5000  0.5000  0.0000  4 O 2.12
Hg  0.7500  0.2500  0.5000  4 O 2.20
O  0.2654  0.0991  0.8337  1 Hg 2.12, 1 Pa 2.32, 2 O 2.33-2.37, 1 Cd 2.34
O  0.2654  0.4318  0.1663  1 Hg 2.12, 1 Pa 2.32, 2 O 2.33-2.37, 1 Cd 2.34
O  0.3287  0.0183  0.3104  1 Pa 2.18, 1 Hg 2.20, 1 O 2.37, 1 Cd 2.42
O  0.5682  0.7346  0.8337  1 Hg 2.12, 1 Pa 2.32, 2 O 2.33-2.37, 1 Cd 2.34
O  0.7079  0.0183  0.6896  1 Pa 2.18, 1 Hg 2.20, 1 O 2.37, 1 Cd 2.42
O  0.9009  0.7346  0.1663  1 Hg 2.12, 1 Pa 2.32, 2 O 2.33-2.37, 1 Cd 2.34
O  0.9817  0.2921  0.3104  1 Pa 2.18, 1 Hg 2.20, 1 O 2.37, 1 Cd 2.42
O  0.9817  0.6713  0.6896  1 Pa 2.18, 1 Hg 2.20, 1 O 2.37, 1 Cd 2.42

***

Record 2
Below is crystalline La4HfPa3N8 at its relaxed geometry, with properties calculated at the PBE level.

Summary:
For the total magnetization, the calculation gives 0.00 μB per formula unit. The total energy comes out at -9.38 eV/atom. For the uncorrected formation energy, the calculation gives -1580 meV per atom. As for the density of states at the Fermi level: 0.498 states/eV/atom.

Cell lengths 7.2213, 7.2213, 7.2213 Å; angles 58.57, 58.57, 58.57 degrees
Closest atoms and distances in Å follow each position.
Element x y z (fractional)
La  0.0000  0.0000  0.0000  6 N 2.77
La  0.0000  0.5000  0.5000  6 N 2.70-2.71
La  0.5000  0.0000  0.5000  6 N 2.70-2.71
La  0.5000  0.5000  0.0000  6 N 2.70-2.71
Hf  0.5000  0.5000  0.5000  6 N 2.30
Pa  0.0000  0.0000  0.5000  6 N 2.37-2.38
Pa  0.0000  0.5000  0.0000  6 N 2.37-2.38
Pa  0.5000  0.0000  0.0000  6 N 2.37-2.38
N  0.2338  0.2338  0.2338  3 Pa 2.37
N  0.2420  0.7278  0.7278  1 Hf 2.30, 2 Pa 2.38
N  0.2722  0.2722  0.7580  1 Hf 2.30, 2 Pa 2.38
N  0.2722  0.7580  0.2722  1 Hf 2.30, 2 Pa 2.38
N  0.7278  0.2420  0.7278  1 Hf 2.30, 2 Pa 2.38
N  0.7278  0.7278  0.2420  1 Hf 2.30, 2 Pa 2.38
N  0.7580  0.2722  0.2722  1 Hf 2.30, 2 Pa 2.38
N  0.7662  0.7662  0.7662  3 Pa 2.37

***

Record 3
Below is crystalline Pm5Zn2Bi at its relaxed geometry, with properties calculated at the PBE level.

Summary:
For the total magnetization, the calculation gives 0.00 μB per formula unit. The total energy comes out at -4.17 eV/atom. As for the density of states at the Fermi level: 0.843 states/eV/atom. Its formation energy is -0.40 eV per atom.

Cell lengths 8.8106, 8.8106, 8.8106 Å; angles 122.48, 122.48, 85.75 degrees
Closest atoms and distances in Å follow each position.
Element x y z (fractional)
Pm  0.0000  0.0000  0.0000  2 Bi 3.23, 4 Zn 3.25
Pm  0.0083  0.5083  0.8022  3 Zn 3.06-3.11
Pm  0.2061  0.0083  0.5000  3 Zn 3.06-3.11
Pm  0.2939  0.7939  0.8022  3 Zn 3.06-3.11
Pm  0.4917  0.2939  0.5000  3 Zn 3.06-3.11
Pm  0.5000  0.5000  0.0000  2 Bi 3.23, 4 Zn 3.25
Pm  0.5083  0.7061  0.5000  3 Zn 3.06-3.11
Pm  0.7061  0.2061  0.1978  3 Zn 3.06-3.11
Pm  0.7939  0.9917  0.5000  3 Zn 3.06-3.11
Pm  0.9917  0.4917  0.1978  3 Zn 3.06-3.11
Zn  0.1447  0.3553  0.5000  8 Pm 3.06-3.25
Zn  0.3553  0.8553  0.2105  8 Pm 3.06-3.25
Zn  0.6447  0.1447  0.7895  8 Pm 3.06-3.25
Zn  0.8553  0.6447  0.5000  8 Pm 3.06-3.25
Bi  0.2500  0.2500  0.0000  10 Pm 3.23-3.51
Bi  0.7500  0.7500  0.0000  10 Pm 3.23-3.51

***

Record 4
Below is crystalline LaZr2IrRu at its relaxed geometry, with properties calculated at the PBE level.

Summary:
For the total magnetization, the calculation gives 0.00 μB per formula unit. The total energy comes out at -6.28 eV/atom. As for the density of states at the Fermi level: 1.194 states/eV/atom. Its formation energy is 1.75 eV per atom.

Cell lengths 5.0646, 5.0646, 4.7461 Å; angles 90.00, 90.00, 90.00 degrees
Closest atoms and distances in Å follow each position.
Element x y z (fractional)
La  0.0000  0.0000  0.0000  2 Ir 2.37, 4 Zr 2.53
Zr  0.0000  0.5000  0.0000  2 La 2.53
Zr  0.5000  0.0000  0.0000  2 La 2.53
Ir  0.0000  0.0000  0.5000  2 La 2.37
Ru  0.5000  0.5000  0.5000  8 Zr 3.47, 4 Ir 3.58

***

Record 5
Below is crystalline Si3Se at its relaxed geometry, with properties calculated at the PBE level.

Summary:
For the total magnetization, the calculation gives 0.00 μB per formula unit. The total energy comes out at -4.54 eV/atom. For the uncorrected formation energy, the calculation gives 396 meV per atom. As for the density of states at the Fermi level: 0.523 states/eV/atom.

Cell lengths 11.8610, 11.8610, 11.8610 Å; angles 163.02, 163.02, 24.10 degrees
Closest atoms and distances in Å follow each position.
Element x y z (fractional)
Si  0.0000  0.5000  0.5000  4 Si 2.48
Si  0.1648  0.1648  0.0000  4 Si 2.64, 4 Se 2.80
Si  0.2500  0.7500  0.5000  8 Si 2.48-2.64
Si  0.5000  0.0000  0.5000  4 Si 2.48
Si  0.7500  0.2500  0.5000  8 Si 2.48-2.64
Si  0.8352  0.8352  0.0000  4 Si 2.64, 4 Se 2.80
Se  0.3918  0.3918  0.0000  8 Si 2.80-3.06
Se  0.6082  0.6082  0.0000  8 Si 2.80-3.06

***

Record 6
Below is crystalline Cr2TeP2 at its relaxed geometry, with properties calculated at the PBE level.

Summary:
For the total magnetization, the calculation gives 3.83 μB per formula unit. The total energy comes out at -6.68 eV/atom. For the uncorrected formation energy, the calculation gives -37 meV per atom. As for the density of states at the Fermi level: 0.368 states/eV/atom.

Cell lengths 6.7314, 6.7314, 6.7314 Å; angles 149.12, 149.12, 44.24 degrees
Closest atoms and distances in Å follow each position.
Element x y z (fractional)
Cr  0.1278  0.1278  0.0000  4 P 2.35
Cr  0.8722  0.8722  0.0000  4 P 2.35
Te  0.5000  0.5000  0.0000  8 Cr 2.99
P  0.2500  0.7500  0.5000  4 Cr 2.35, 4 P 2.53
P  0.7500  0.2500  0.5000  4 Cr 2.35, 4 P 2.53

***

Record 7
Below is crystalline Ta4Co at its relaxed geometry, with properties calculated at the PBE level.

Summary:
For the total magnetization, the calculation gives 1.43 μB per formula unit. The total energy comes out at -9.89 eV/atom. As for the density of states at the Fermi level: 1.264 states/eV/atom. Its formation energy is 1.02 eV per atom.

Cell lengths 7.5163, 7.5163, 7.5163 Å; angles 151.73, 151.73, 40.40 degrees
Closest atoms and distances in Å follow each position.
Element x y z (fractional)
Ta  0.0885  0.0885  0.0000  1 Ta 2.50
Ta  0.2500  0.7500  0.5000  4 Ta 2.60
Ta  0.7500  0.2500  0.5000  4 Ta 2.60
Ta  0.9115  0.9115  0.0000  1 Ta 2.50
Co  0.5000  0.5000  0.0000  8 Ta 2.88

***

Record 8
Below is crystalline Al4Ga3Ag2 at its relaxed geometry, with properties calculated at the PBE level.

Summary:
For the total magnetization, the calculation gives 0.00 μB per formula unit. The total energy comes out at -3.26 eV/atom. As for the density of states at the Fermi level: 0.324 states/eV/atom. Its formation energy is 0.05 eV per atom.

Cell lengths 8.6633, 8.6633, 5.0385 Å; angles 106.89, 106.89, 67.04 degrees
Closest atoms and distances in Å follow each position.
Element x y z (fractional)
Al  0.1367  0.5232  0.3925  1 Ga 2.69, 4 Ag 2.71-2.77, 1 Al 2.86
Al  0.1858  0.7152  0.9580  1 Ag 2.69, 5 Ga 2.77-3.01, 3 Al 2.79-2.92
Al  0.2848  0.8142  0.5420  1 Ag 2.69, 5 Ga 2.77-3.01, 3 Al 2.79-2.92
Al  0.4768  0.8633  0.1075  1 Ga 2.69, 4 Ag 2.71-2.77, 1 Al 2.86
Al  0.5232  0.1367  0.8925  1 Ga 2.69, 4 Ag 2.71-2.77, 1 Al 2.86
Al  0.7152  0.1858  0.4580  1 Ag 2.69, 5 Ga 2.77-3.01, 3 Al 2.79-2.92
Al  0.8142  0.2848  0.0420  1 Ag 2.69, 5 Ga 2.77-3.01, 3 Al 2.79-2.92
Al  0.8633  0.4768  0.6075  1 Ga 2.69, 4 Ag 2.71-2.77, 1 Al 2.86
Ga  0.0611  0.1455  0.5451  2 Ga 2.65, 3 Al 2.69-2.79, 1 Ag 2.73
Ga  0.1455  0.0611  0.0451  2 Ga 2.65, 3 Al 2.69-2.79, 1 Ag 2.73
Ga  0.4985  0.5015  0.7500  2 Ga 2.52
Ga  0.5015  0.4985  0.2500  2 Ga 2.52
Ga  0.8545  0.9389  0.9549  2 Ga 2.65, 3 Al 2.69-2.79, 1 Ag 2.73
Ga  0.9389  0.8545  0.4549  2 Ga 2.65, 3 Al 2.69-2.79, 1 Ag 2.73
Ag  0.2063  0.3866  0.8657  5 Al 2.69-2.77, 1 Ga 2.73
Ag  0.3866  0.2063  0.3657  5 Al 2.69-2.77, 1 Ga 2.73
Ag  0.6134  0.7937  0.6343  5 Al 2.69-2.77, 1 Ga 2.73
Ag  0.7937  0.6134  0.1343  5 Al 2.69-2.77, 1 Ga 2.73

***

Record 9
Below is crystalline Nb3TeCl at its relaxed geometry, with properties calculated at the PBE level.

Summary:
For the total magnetization, the calculation gives 0.00 μB per formula unit. The total energy comes out at -6.44 eV/atom. For the uncorrected formation energy, the calculation gives 604 meV per atom. As for the density of states at the Fermi level: 1.185 states/eV/atom.

Cell lengths 4.6335, 4.6335, 4.6335 Å; angles 90.00, 90.00, 90.00 degrees
Closest atoms and distances in Å follow each position.
Element x y z (fractional)
Nb  0.0000  0.0000  0.5000  2 Cl 2.32
Nb  0.0000  0.5000  0.0000  2 Cl 2.32
Nb  0.5000  0.0000  0.0000  2 Cl 2.32
Te  0.5000  0.5000  0.5000  12 Nb 3.28
Cl  0.0000  0.0000  0.0000  6 Nb 2.32

***

Record 10
Below is crystalline La3PbN at its relaxed geometry, with properties calculated at the PBE level.

Summary:
For the total magnetization, the calculation gives 0.00 μB per formula unit. The total energy comes out at -5.81 eV/atom. For the uncorrected formation energy, the calculation gives -444 meV per atom. As for the density of states at the Fermi level: 0.824 states/eV/atom.

Cell lengths 8.1632, 8.1632, 8.1632 Å; angles 129.21, 129.21, 74.67 degrees
Closest atoms and distances in Å follow each position.
Element x y z (fractional)
La  0.1262  0.1262  0.0000  1 La 3.28, 2 Pb 3.50
La  0.3668  0.6180  0.7488  2 N 2.33-2.44
La  0.3820  0.1308  0.7488  2 N 2.33-2.44
La  0.3820  0.6332  0.2512  2 N 2.33-2.44
La  0.8692  0.6180  0.2512  2 N 2.33-2.44
La  0.8738  0.8738  0.0000  1 La 3.28, 2 Pb 3.50
Pb  0.6201  0.1201  0.5000  1 Pb 3.37, 4 La 3.50-3.55
Pb  0.8799  0.3799  0.5000  1 Pb 3.37, 4 La 3.50-3.55
N  0.2500  0.7500  0.5000  4 La 2.44
N  0.5000  0.5000  0.0000  4 La 2.33

***

Record 11
Below is crystalline InI3Cl at its relaxed geometry, with properties calculated at the PBE level.

Summary:
For the total magnetization, the calculation gives 0.00 μB per formula unit. The total energy comes out at -1.77 eV/atom. For the uncorrected formation energy, the calculation gives 78 meV per atom. As for the density of states at the Fermi level: 0.318 states/eV/atom.

Cell lengths 5.8370, 5.8370, 5.8370 Å; angles 90.00, 90.00, 90.00 degrees
Closest atoms and distances in Å follow each position.
Element x y z (fractional)
In  0.0000  0.0000  0.0000  12 I 4.13
I  0.0000  0.5000  0.5000  2 Cl 2.92
I  0.5000  0.0000  0.5000  2 Cl 2.92
I  0.5000  0.5000  0.0000  2 Cl 2.92
Cl  0.5000  0.5000  0.5000  6 I 2.92

***

Record 12
Below is crystalline UTi2Sb at its relaxed geometry, with properties calculated at the PBE level.

Summary:
For the total magnetization, the calculation gives 1.83 μB per formula unit. The total energy comes out at -7.66 eV/atom. For the uncorrected formation energy, the calculation gives 144 meV per atom. As for the density of states at the Fermi level: 2.081 states/eV/atom.

Cell lengths 9.6267, 9.6267, 9.6267 Å; angles 18.87, 18.87, 18.87 degrees
Closest atoms and distances in Å follow each position.
Element x y z (fractional)
U  0.0000  0.0000  0.0000  6 Ti 3.05, 6 U 3.16
Ti  0.2473  0.2473  0.2473  3 Sb 2.92, 3 U 3.05, 6 Ti 3.16
Ti  0.7527  0.7527  0.7527  3 Sb 2.92, 3 U 3.05, 6 Ti 3.16
Sb  0.5000  0.5000  0.5000  6 Ti 2.92, 6 Sb 3.16